A relaxed structure of IrOs2I, computed with PBE.

The structure in CIF format:
```
data_IrOs2I
_cell_length_a 4.545
_cell_length_b 4.545
_cell_length_c 4.545
_cell_angle_alpha 60.00
_cell_angle_beta 60.00
_cell_angle_gamma 60.00
_space_group_name_H-M_alt 'P 1'
_space_group_IT_number 1
loop_
_space_group_symop_operation_xyz
'x,y,z'
loop_
_atom_site_label
_atom_site_fract_x
_atom_site_fract_y
_atom_site_fract_z
I1 0.000 0.000 0.000
Os1 0.250 0.250 0.250
Os2 0.750 0.750 0.750
Ir1 0.500 0.500 0.500
```

Calculated values
DOS at the Fermi energy	1.379	states/eV/atom
excess energy over the best structure of this formula in the dataset	0	meV per atom
total energy	-27.1	eV per cell
symmetry	Fm-3m (225)
total magnetization	0.000	μB/cell


A relaxed structure of TaPdN2F, computed with PBE.

The structure in CIF format:
```
data_TaPdN2F
_cell_length_a 4.075
_cell_length_b 4.075
_cell_length_c 3.989
_cell_angle_alpha 90.00
_cell_angle_beta 90.00
_cell_angle_gamma 90.00
_space_group_name_H-M_alt 'P 1'
_space_group_IT_number 1
loop_
_space_group_symop_operation_xyz
'x,y,z'
loop_
_atom_site_label
_atom_site_fract_x
_atom_site_fract_y
_atom_site_fract_z
N1 0.000 0.500 0.000
Pd1 0.500 0.500 0.500
F1 0.000 0.000 0.500
Ta1 0.000 0.000 0.000
N2 0.500 0.000 0.000
```

Calculated values
DOS at the Fermi energy	0.628	states/eV/atom
excess energy over the best structure of this formula in the dataset	0	meV per atom
total energy	-37.1	eV per cell
symmetry	P4/mmm (123)
total magnetization	0.000	μB/cell


A relaxed structure of Nd3Dy3ScS8, computed with PBE.

The structure in CIF format:
```
data_Nd3Dy3ScS8
_cell_length_a 7.874
_cell_length_b 7.874
_cell_length_c 7.965
_cell_angle_alpha 119.62
_cell_angle_beta 90.00
_cell_angle_gamma 120.00
_space_group_name_H-M_alt 'P 1'
_space_group_IT_number 1
loop_
_space_group_symop_operation_xyz
'x,y,z'
loop_
_atom_site_label
_atom_site_fract_x
_atom_site_fract_y
_atom_site_fract_z
S1 0.761 0.522 0.270
Nd1 0.000 0.000 0.000
S2 0.752 0.991 0.730
Sc1 0.000 0.000 0.500
S3 0.745 0.490 0.735
Nd2 0.500 0.500 0.000
S4 0.248 0.009 0.270
S5 0.255 0.510 0.265
S6 0.761 0.009 0.270
S7 0.239 0.478 0.730
Dy1 0.000 0.500 0.500
Dy2 0.500 0.500 0.500
S8 0.239 0.991 0.730
Dy3 0.500 0.000 0.500
Nd3 0.000 0.500 0.000
```

Calculated values
DOS at the Fermi energy	0.486	states/eV/atom
total energy	-98.0	eV per cell
symmetry	R-3m (166)
total magnetization	0.000	μB/cell


| no. | density (Mg/m³) |
| --- | --- |
| 1 | 17.50 |
| 2 | 8.38 |
| 3 | 5.78 |